# Ac3LaSm3 GGA-PBE optimized geometry
data_Ac3LaSm3
_chemical_formula_sum 'Ac6 La2 Sm6'
_cell_length_a 10.2002
_cell_length_b 10.2002
_cell_length_c 6.1156
_cell_angle_alpha 90.00
_cell_angle_beta 90.00
_cell_angle_gamma 120.00
_symmetry_space_group_name_H-M 'P 63/m'
_symmetry_Int_Tables_number 176
_symmetry_space_group_name_Hall '-P 6c'
loop_
_atom_site_label
_atom_site_type_symbol
_atom_site_fract_x
_atom_site_fract_y
_atom_site_fract_z
Ac1 Ac 0.0931 0.6298 0.2500
La1 La 0.3333 0.6667 0.7500
Sm1 Sm 0.0444 0.8170 0.7500
# - ρ: 7.7 g cm⁻³
# - Formation enthalpy at 0 K: 0.05 eV/atom